(1)
Crystalline BAsPbSe2 at its relaxed geometry. Source: Alexandria via LeMat-Bulk, functional PBE.

Cell: 5.022 5.022 4.111 Å, 90.00 90.00 90.00°
Atoms (fractional coordinates):
Pb (0.500, 0.500, 0.500)
As (0.000, 0.000, 0.500)
B (0.000, 0.000, 0.000)
Se (0.000, 0.500, 0.000)
Se (0.500, 0.000, 0.000)

Values from the calculation:
Calculated density = 7.22 g cm⁻³
Energy above the most stable polymorph in this dataset = 0.000 eV/atom
D(E_F) = 1.00 states/eV/f.u.
Energy relative to the elements, uncorrected = 0.4333 eV/atom

(2)
Crystalline BAsPbSe2 at its relaxed geometry. Source: Alexandria via LeMat-Bulk, functional PBE.

Cell: 5.508 5.508 5.425 Å, 90.00 90.00 90.00°
Last column: magnetic moment on the atom in μB.
Atoms (fractional coordinates):
Pb (0.000, 0.000, 0.000)  -0.02
As (0.000, 0.000, 0.500)  0.43
B (0.500, 0.500, 0.500)  -0.03
Se (0.000, 0.500, 0.000)  0.10
Se (0.500, 0.000, 0.000)  0.10

Values from the calculation:
Calculated density = 4.55 g cm⁻³
Energy above the most stable polymorph in this dataset = 1.190 eV/atom
D(E_F) = 3.62 states/eV/f.u.
Energy relative to the elements, uncorrected = 1.6234 eV/atom

(3)
Crystalline BAs2PbSe at its relaxed geometry. Source: Alexandria via LeMat-Bulk, functional PBE.

Cell: 4.300 4.300 9.349 Å, 90.00 90.00 90.00°
Atoms (fractional coordinates):
Pb (0.500, 0.500, 0.500)
As (0.000, 0.500, 0.000)
As (0.500, 0.000, 0.000)
B (0.000, 0.000, 0.000)
Se (0.000, 0.000, 0.500)

Values from the calculation:
Calculated density = 4.29 g cm⁻³
Energy above the most stable polymorph in this dataset = 0.000 eV/atom
D(E_F) = 6.22 states/eV/f.u.
Energy relative to the elements, uncorrected = 0.7043 eV/atom

(4)
Crystalline BAs2PbSe at its relaxed geometry. Source: Alexandria via LeMat-Bulk, functional PBE.

Cell: 5.499 5.499 5.535 Å, 90.00 90.00 90.00°
Last column: magnetic moment on the atom in μB.
Atoms (fractional coordinates):
Pb (0.000, 0.000, 0.000)  -0.01
As (0.000, 0.500, 0.000)  0.31
As (0.500, 0.000, 0.000)  0.31
B (0.500, 0.500, 0.500)  -0.04
Se (0.000, 0.000, 0.500)  0.09

Values from the calculation:
Calculated density = 4.43 g cm⁻³
Energy above the most stable polymorph in this dataset = 1.119 eV/atom
D(E_F) = 4.80 states/eV/f.u.
Energy relative to the elements, uncorrected = 1.8236 eV/atom

(5)
Crystalline SiBAs2Pb at its relaxed geometry. Source: Alexandria via LeMat-Bulk, functional PBE.

Cell: 5.473 4.438 5.473 Å, 90.00 90.00 90.00°
Atoms (fractional coordinates):
Pb (0.000, 0.000, 0.000)
As (0.000, 0.000, 0.500)
As (0.500, 0.000, 0.000)
B (0.000, 0.500, 0.000)
Si (0.500, 0.500, 0.500)

Values from the calculation:
Calculated density = 4.95 g cm⁻³
D(E_F) = 3.43 states/eV/f.u.
Energy relative to the elements, uncorrected = 1.7322 eV/atom

(6)
Crystalline SrBAs2Pb at its relaxed geometry. Source: Alexandria via LeMat-Bulk, functional PBE.

Cell: 5.616 5.002 5.616 Å, 90.00 90.00 90.00°
Atoms (fractional coordinates):
Pb (0.500, 0.500, 0.500)
Sr (0.000, 0.000, 0.000)
As (0.000, 0.000, 0.500)
As (0.500, 0.000, 0.000)
B (0.000, 0.500, 0.000)

Values from the calculation:
Calculated density = 4.79 g cm⁻³
D(E_F) = 4.44 states/eV/f.u.
Formation enthalpy at 0 K = 1.269 eV per atom

- Number 6 is which compound?
  SrBAs2Pb

- Which of these has the lowest D(E_F)?
  number 1

- Which of these has the highest calculated density?
  number 1